This record from Alexandria describes an optimized crystal structure of AlTlCdI2. The functional is PBE.

Results
SG = No. 123
DOS at the Fermi energy = 0.68 states/eV/f.u.
Formation energy (no corrections) = 0.01 eV/atom
V = 211.9 Å³ per cell
Calculated total energy = -2.01 eV/atom

Cell lengths 6.436, 5.116, 6.436 Å; angles 90.00, 90.00, 90.00 degrees
Positions (direct):
I (0.000, 0.000, 0.500)
Al (0.000, 0.500, 0.000)
Cd (0.000, 0.000, 0.000)
Tl (0.500, 0.500, 0.500)
I (0.500, 0.000, 0.000)